Entry 1:
First-principles (GGA-PBE) data for a relaxed structure of LaTlSe2, as listed in the Alexandria database.

total DFT energy (no corrections)	-4.77	eV/atom
ΔE_f (raw)	-1.205	eV per atom
density	5.68	Mg/m³
total magnetic moment	0.00	μB per cell
space-group type	No. 122
Fermi-level density of states	0.000	states/eV per atom

Unit cell a=8.017 b=8.017 c=7.274 alpha=56.56 beta=56.56 gamma=90.00
Positions (direct):
Tl  0.000  0.000  0.000
Tl  0.750  0.250  0.500
Se  0.591  0.125  0.250
Se  0.159  0.625  0.250
Se  0.375  0.409  0.750
Se  0.875  0.841  0.750
La  0.500  0.500  0.000
La  0.250  0.750  0.500

=====

Entry 2:
First-principles (GGA-PBE) data for a relaxed structure of La5TlSe4, as listed in the Alexandria database.

total DFT energy (no corrections)	-5.76	eV/atom
ΔE_f (raw)	-1.664	eV per atom
density	6.75	Mg/m³
total magnetic moment	0.00	μB per cell
space-group type	No. 87
Fermi-level density of states	0.453	states/eV per atom

Unit cell a=6.194 b=7.604 c=7.604 alpha=80.45 beta=65.97 gamma=65.97
Positions (direct):
La  0.898  0.411  0.794
La  0.309  0.794  0.589
La  0.692  0.206  0.411
La  0.103  0.589  0.206
La  0.501  0.000  0.000
Tl  0.001  0.000  0.000
Se  0.398  0.403  0.803
Se  0.801  0.803  0.597
Se  0.201  0.197  0.403
Se  0.604  0.597  0.197

=====

Entry 3:
First-principles (GGA-PBE) data for a relaxed structure of La3TlSe6, as listed in the Alexandria database.

total DFT energy (no corrections)	-5.38	eV/atom
ΔE_f (raw)	-1.570	eV per atom
density	5.87	Mg/m³
total magnetic moment	0.00	μB per cell
space-group type	No. 36

Unit cell a=7.199 b=9.392 c=9.392 alpha=102.91 beta=90.00 gamma=90.00
Positions (direct):
La  0.479  0.912  0.716
La  0.979  0.716  0.912
La  0.393  0.403  0.597
La  0.893  0.597  0.403
La  0.979  0.088  0.284
La  0.479  0.284  0.088
Tl  0.012  0.199  0.801
Tl  0.512  0.801  0.199
Se  0.185  0.690  0.633
Se  0.685  0.633  0.690
Se  0.215  0.444  0.906
Se  0.715  0.906  0.444
Se  0.180  0.030  0.970
Se  0.644  0.221  0.779
Se  0.144  0.779  0.221
Se  0.680  0.970  0.030
Se  0.215  0.094  0.556
Se  0.715  0.556  0.094
Se  0.185  0.367  0.310
Se  0.685  0.310  0.367

=====

Entry 4:
First-principles (GGA-PBE) data for a relaxed structure of LaTlSe2, as listed in the Alexandria database.

total DFT energy (no corrections)	-4.89	eV/atom
ΔE_f (raw)	-1.327	eV per atom
density	7.52	Mg/m³
total magnetic moment	0.00	μB per cell
space-group type	No. 38
Fermi-level density of states	0.040	states/eV per atom

Unit cell a=6.056 b=6.056 c=4.646 alpha=89.98 beta=89.98 gamma=40.48
Positions (direct):
La  0.280  0.280  0.125
Se  0.994  0.994  0.125
Se  0.735  0.735  0.625
Tl  0.491  0.491  0.625

=====

Entry 5:
First-principles (GGA-PBE) data for a relaxed structure of LaTl2Se, as listed in the Alexandria database.

total DFT energy (no corrections)	-3.85	eV/atom
ΔE_f (raw)	-0.566	eV per atom
density	9.33	Mg/m³
total magnetic moment	0.00	μB per cell
space-group type	No. 216
Fermi-level density of states	0.895	states/eV per atom

Unit cell a=5.403 b=5.403 c=5.403 alpha=60.00 beta=60.00 gamma=60.00
Positions (direct):
La  0.500  0.500  0.500
Se  0.750  0.750  0.750
Tl  0.000  0.000  0.000
Tl  0.250  0.250  0.250

=====

Entry 6:
First-principles (GGA-PBE) data for a relaxed structure of LaTlSe2, as listed in the Alexandria database.

total DFT energy (no corrections)	-4.90	eV/atom
ΔE_f (raw)	-1.330	eV per atom
density	6.31	Mg/m³
total magnetic moment	0.00	μB per cell
space-group type	No. 44

Unit cell a=8.504 b=8.504 c=8.504 alpha=153.25 beta=151.47 gamma=39.51
Positions (direct):
La  0.202  0.702  0.500
Se  0.063  0.063  0.000
Se  0.769  0.269  0.500
Tl  0.465  0.465  0.000

=====

Entry 7:
First-principles (GGA-PBE) data for a relaxed structure of La3TlSe2, as listed in the Alexandria database.

total DFT energy (no corrections)	-5.46	eV/atom
ΔE_f (raw)	-1.440	eV per atom
density	7.01	Mg/m³
total magnetic moment	0.00	μB per cell
space-group type	No. 71
Fermi-level density of states	0.367	states/eV per atom

Unit cell a=4.328 b=6.278 c=7.792 alpha=113.76 beta=106.12 gamma=90.00
Positions (direct):
La  0.500  0.500  0.000
La  0.179  0.179  0.358
La  0.821  0.821  0.642
Tl  0.500  0.000  0.000
Se  0.164  0.664  0.327
Se  0.836  0.336  0.673

=====

Entry 8:
First-principles (GGA-PBE) data for a relaxed structure of LaTlSe2, as listed in the Alexandria database.

total DFT energy (no corrections)	-4.68	eV/atom
ΔE_f (raw)	-1.116	eV per atom
density	7.91	Mg/m³
total magnetic moment	0.00	μB per cell
space-group type	No. 119
Fermi-level density of states	0.097	states/eV per atom

Unit cell a=6.268 b=6.268 c=6.268 alpha=138.94 beta=138.94 gamma=59.46
Positions (direct):
La  0.750  0.250  0.500
Se  0.000  0.000  0.000
Se  0.250  0.750  0.500
Tl  0.500  0.500  0.000